1.
BaZrPb2 | PBE | relaxed

Cell and atoms, written as CIF:
```
data_BaZrPb2
_chemical_formula_sum 'Ba4 Zr4 Pb8'
_cell_length_a 8.005
_cell_length_b 8.005
_cell_length_c 8.005
_cell_angle_alpha 90.00
_cell_angle_beta 90.00
_cell_angle_gamma 90.00
_space_group_name_H-M_alt 'F -4 3 m'
_space_group_IT_number 216
_space_group_name_Hall 'F -4 2 3'
loop_
_atom_site_label
_atom_site_fract_x
_atom_site_fract_y
_atom_site_fract_z
Ba1 0.000 0.000 0.000
Zr1 0.250 0.250 0.750
Pb1 0.000 0.000 0.500
Pb2 0.250 0.250 0.250
```

Results
final energy	-4.16	eV per atom
ΔE_f	309	meV/atom
crystal system	cubic

=====

2.
Ba3ZrPb | PBE | relaxed

Cell and atoms, written as CIF:
```
data_Ba3ZrPb
_chemical_formula_sum 'Ba3 Zr1 Pb1'
_cell_length_a 6.184
_cell_length_b 6.184
_cell_length_c 6.184
_cell_angle_alpha 90.00
_cell_angle_beta 90.00
_cell_angle_gamma 90.00
_space_group_name_H-M_alt 'P m -3 m'
_space_group_IT_number 221
_space_group_name_Hall '-P 4 2 3'
loop_
_atom_site_label
_atom_site_fract_x
_atom_site_fract_y
_atom_site_fract_z
Ba1 0.000 0.000 0.500
Zr1 0.000 0.000 0.000
Pb1 0.500 0.500 0.500
```

Results
final energy	-3.01	eV per atom
ΔE_f	596	meV/atom
crystal system	cubic
energy above the most stable polymorph in this dataset	0	meV per atom

=====

3.
Ba2ZrPb | PBE | relaxed

Cell and atoms, written as CIF:
```
data_Ba2ZrPb
_chemical_formula_sum 'Ba4 Zr2 Pb2'
_cell_length_a 6.883
_cell_length_b 10.984
_cell_length_c 3.685
_cell_angle_alpha 90.00
_cell_angle_beta 90.00
_cell_angle_gamma 90.00
_space_group_name_H-M_alt 'C m m m'
_space_group_IT_number 65
_space_group_name_Hall '-C 2 2'
loop_
_atom_site_label
_atom_site_fract_x
_atom_site_fract_y
_atom_site_fract_z
Ba1 0.250 0.250 0.000
Zr1 0.000 0.000 0.500
Pb1 0.000 0.500 0.500
```

Results
final energy	-3.80	eV per atom
ΔE_f	223	meV/atom
crystal system	orthorhombic

=====

4.
BaZrPb2 | PBE | relaxed

Cell and atoms, written as CIF:
```
data_BaZrPb2
_chemical_formula_sum 'Ba1 Zr1 Pb2'
_cell_length_a 4.151
_cell_length_b 4.151
_cell_length_c 8.632
_cell_angle_alpha 90.00
_cell_angle_beta 90.00
_cell_angle_gamma 90.00
_space_group_name_H-M_alt 'P 4 m m'
_space_group_IT_number 99
loop_
_space_group_symop_operation_xyz
'x,y,z'
'-y,x,z'
'-x,-y,z'
'y,-x,z'
'-x,y,z'
'y,x,z'
'x,-y,z'
'-y,-x,z'
loop_
_atom_site_label
_atom_site_fract_x
_atom_site_fract_y
_atom_site_fract_z
Ba1 0.000 0.000 0.000
Zr1 0.500 0.500 0.594
Pb1 0.000 0.000 0.587
Pb2 0.500 0.500 0.252
```

Results
final energy	-4.45	eV per atom
ΔE_f	26	meV/atom
crystal system	tetragonal

=====

5.
BaZrPb3 | PBE | relaxed

Cell and atoms, written as CIF:
```
data_BaZrPb3
_chemical_formula_sum 'Ba1 Zr1 Pb3'
_cell_length_a 5.713
_cell_length_b 5.713
_cell_length_c 5.713
_cell_angle_alpha 90.00
_cell_angle_beta 90.00
_cell_angle_gamma 90.00
_space_group_name_H-M_alt 'P m -3 m'
_space_group_IT_number 221
_space_group_name_Hall '-P 4 2 3'
loop_
_atom_site_label
_atom_site_fract_x
_atom_site_fract_y
_atom_site_fract_z
Ba1 0.000 0.000 0.000
Zr1 0.500 0.500 0.500
Pb1 0.000 0.500 0.500
```

Results
final energy	-4.50	eV per atom
ΔE_f	-185	meV/atom
crystal system	cubic
energy above the most stable polymorph in this dataset	0	meV per atom

=====

6.
BaZrPb2 | PBE | relaxed

Cell and atoms, written as CIF:
```
data_BaZrPb2
_chemical_formula_sum 'Ba2 Zr2 Pb4'
_cell_length_a 16.919
_cell_length_b 3.508
_cell_length_c 4.826
_cell_angle_alpha 90.00
_cell_angle_beta 105.74
_cell_angle_gamma 90.00
_space_group_name_H-M_alt 'C 1 m 1'
_space_group_IT_number 8
loop_
_space_group_symop_operation_xyz
'x,y,z'
'x,-y,z'
'x+1/2,y+1/2,z'
'x+1/2,-y+1/2,z'
loop_
_atom_site_label
_atom_site_fract_x
_atom_site_fract_y
_atom_site_fract_z
Ba1 0.000 0.000 0.000
Zr1 0.224 0.500 0.211
Pb1 0.183 0.000 0.672
Pb2 0.376 0.000 0.384
```

Results
final energy	-4.55	eV per atom
ΔE_f	-80	meV/atom
crystal system	monoclinic

=====

7.
BaZrPb2 | PBE | relaxed

Cell and atoms, written as CIF:
```
data_BaZrPb2
_chemical_formula_sum 'Ba2 Zr2 Pb4'
_cell_length_a 4.069
_cell_length_b 4.459
_cell_length_c 15.216
_cell_angle_alpha 90.00
_cell_angle_beta 90.00
_cell_angle_gamma 90.00
_space_group_name_H-M_alt 'I m m 2'
_space_group_IT_number 44
loop_
_space_group_symop_operation_xyz
'x,y,z'
'-x,-y,z'
'-x,y,z'
'x,-y,z'
'x+1/2,y+1/2,z+1/2'
'-x+1/2,-y+1/2,z+1/2'
'-x+1/2,y+1/2,z+1/2'
'x+1/2,-y+1/2,z+1/2'
loop_
_atom_site_label
_atom_site_fract_x
_atom_site_fract_y
_atom_site_fract_z
Ba1 0.000 0.000 0.000
Zr1 0.000 0.500 0.765
Pb1 0.000 0.000 0.626
Pb2 0.000 0.500 0.295
```

Results
final energy	-4.59	eV per atom
ΔE_f	-118	meV/atom
crystal system	orthorhombic

=====

8.
Ba2ZrPb | PBE | relaxed

Cell and atoms, written as CIF:
```
data_Ba2ZrPb
_chemical_formula_sum 'Ba2 Zr1 Pb1'
_cell_length_a 3.893
_cell_length_b 5.415
_cell_length_c 7.439
_cell_angle_alpha 90.00
_cell_angle_beta 105.11
_cell_angle_gamma 90.00
_space_group_name_H-M_alt 'P 1 m 1'
_space_group_IT_number 6
loop_
_space_group_symop_operation_xyz
'x,y,z'
'x,-y,z'
loop_
_atom_site_label
_atom_site_fract_x
_atom_site_fract_y
_atom_site_fract_z
Ba1 0.000 0.000 0.000
Ba2 0.315 0.500 0.633
Zr1 0.711 0.000 0.424
Pb1 0.604 0.500 0.209
```

Results
final energy	-3.91	eV per atom
ΔE_f	115	meV/atom
crystal system	monoclinic

=====

9.
BaZrPb2 | PBE | relaxed

Cell and atoms, written as CIF:
```
data_BaZrPb2
_chemical_formula_sum 'Ba4 Zr4 Pb8'
_cell_length_a 5.984
_cell_length_b 5.984
_cell_length_c 19.154
_cell_angle_alpha 90.00
_cell_angle_beta 90.00
_cell_angle_gamma 90.00
_space_group_name_H-M_alt 'I -4 2 d'
_space_group_IT_number 122
_space_group_name_Hall 'I -4 2bw'
loop_
_atom_site_label
_atom_site_fract_x
_atom_site_fract_y
_atom_site_fract_z
Ba1 0.000 0.000 0.000
Zr1 0.000 0.000 0.500
Pb1 0.102 0.250 0.625
```

Results
final energy	-4.34	eV per atom
ΔE_f	131	meV/atom
crystal system	tetragonal

=====

10.
Ba2ZrPb | PBE | relaxed

Cell and atoms, written as CIF:
```
data_Ba2ZrPb
_chemical_formula_sum 'Ba4 Zr2 Pb2'
_cell_length_a 12.346
_cell_length_b 3.645
_cell_length_c 6.330
_cell_angle_alpha 90.00
_cell_angle_beta 98.00
_cell_angle_gamma 90.00
_space_group_name_H-M_alt 'C 1 2/m 1'
_space_group_IT_number 12
loop_
_space_group_symop_operation_xyz
'x,y,z'
'-x,-y,-z'
'-x,y,-z'
'x,-y,z'
'x+1/2,y+1/2,z'
'-x+1/2,-y+1/2,-z'
'-x+1/2,y+1/2,-z'
'x+1/2,-y+1/2,z'
loop_
_atom_site_label
_atom_site_fract_x
_atom_site_fract_y
_atom_site_fract_z
Ba1 0.240 0.000 0.243
Zr1 0.000 0.000 0.500
Pb1 0.000 0.500 0.000
```

Results
final energy	-3.67	eV per atom
ΔE_f	355	meV/atom
crystal system	monoclinic

=====

11.
Ba2ZrPb | PBE | relaxed

Cell and atoms, written as CIF:
```
data_Ba2ZrPb
_chemical_formula_sum 'Ba2 Zr1 Pb1'
_cell_length_a 5.064
_cell_length_b 5.064
_cell_length_c 5.474
_cell_angle_alpha 90.00
_cell_angle_beta 90.00
_cell_angle_gamma 90.00
_space_group_name_H-M_alt 'P 4/m m m'
_space_group_IT_number 123
_space_group_name_Hall '-P 4 2'
loop_
_atom_site_label
_atom_site_fract_x
_atom_site_fract_y
_atom_site_fract_z
Ba1 0.000 0.500 0.000
Zr1 0.000 0.000 0.500
Pb1 0.500 0.500 0.500
```

Results
final energy	-3.83	eV per atom
ΔE_f	198	meV/atom
crystal system	tetragonal

=====

12.
BaZr2Pb2 | PBE | relaxed

Cell and atoms, written as CIF:
```
data_BaZr2Pb2
_chemical_formula_sum 'Ba2 Zr4 Pb4'
_cell_length_a 9.161
_cell_length_b 9.161
_cell_length_c 3.319
_cell_angle_alpha 90.00
_cell_angle_beta 90.00
_cell_angle_gamma 90.00
_space_group_name_H-M_alt 'P 4/m b m'
_space_group_IT_number 127
_space_group_name_Hall '-P 4 2ab'
loop_
_atom_site_label
_atom_site_fract_x
_atom_site_fract_y
_atom_site_fract_z
Ba1 0.000 0.000 0.000
Zr1 0.118 0.382 0.000
Pb1 0.173 0.673 0.500
```

Results
final energy	-5.40	eV per atom
ΔE_f	-112	meV/atom
crystal system	tetragonal
energy above the most stable polymorph in this dataset	61	meV per atom

=====

13.
BaZrPb2 | PBE | relaxed

Cell and atoms, written as CIF:
```
data_BaZrPb2
_chemical_formula_sum 'Ba1 Zr1 Pb2'
_cell_length_a 4.693
_cell_length_b 5.153
_cell_length_c 5.163
_cell_angle_alpha 90.00
_cell_angle_beta 90.00
_cell_angle_gamma 90.00
_space_group_name_H-M_alt 'P m m m'
_space_group_IT_number 47
loop_
_space_group_symop_operation_xyz
'x,y,z'
'-x,-y,-z'
'-x,-y,z'
'x,y,-z'
'x,-y,-z'
'-x,y,z'
'-x,y,-z'
'x,-y,z'
loop_
_atom_site_label
_atom_site_fract_x
_atom_site_fract_y
_atom_site_fract_z
Ba1 0.000 0.000 0.000
Zr1 0.000 0.500 0.500
Pb1 0.500 0.000 0.500
Pb2 0.500 0.500 0.000
```

Results
final energy	-4.42	eV per atom
ΔE_f	48	meV/atom
crystal system	orthorhombic

=====

14.
BaZr4Pb | PBE | relaxed

Cell and atoms, written as CIF:
```
data_BaZr4Pb
_chemical_formula_sum 'Ba4 Zr16 Pb4'
_cell_length_a 8.678
_cell_length_b 8.678
_cell_length_c 8.678
_cell_angle_alpha 90.00
_cell_angle_beta 90.00
_cell_angle_gamma 90.00
_space_group_name_H-M_alt 'F -4 3 m'
_space_group_IT_number 216
_space_group_name_Hall 'F -4 2 3'
loop_
_atom_site_label
_atom_site_fract_x
_atom_site_fract_y
_atom_site_fract_z
Ba1 0.000 0.000 0.000
Zr1 0.127 0.127 0.373
Pb1 0.250 0.250 0.750
```

Results
final energy	-6.23	eV per atom
ΔE_f	405	meV/atom
crystal system	cubic

=====

15.
Ba2ZrPb | PBE | relaxed

Cell and atoms, written as CIF:
```
data_Ba2ZrPb
_chemical_formula_sum 'Ba8 Zr4 Pb4'
_cell_length_a 9.652
_cell_length_b 9.652
_cell_length_c 6.578
_cell_angle_alpha 90.00
_cell_angle_beta 90.00
_cell_angle_gamma 90.00
_space_group_name_H-M_alt 'I -4 2 d'
_space_group_IT_number 122
_space_group_name_Hall 'I -4 2bw'
loop_
_atom_site_label
_atom_site_fract_x
_atom_site_fract_y
_atom_site_fract_z
Ba1 0.237 0.250 0.125
Zr1 0.000 0.000 0.500
Pb1 0.000 0.000 0.000
```

Results
final energy	-3.58	eV per atom
ΔE_f	443	meV/atom
crystal system	tetragonal